*1*
PmZn3Pd2: relaxed, PBE.

SG: C2/m, No. 12
Calculated volume (Å³/cell): 218.70
Theoretical density (Mg/m³): 8.41

POSCAR file:
```
PmZn3Pd2
1.0
-3.5133 -2.2668 -0.4162
5.6173 -4.6643 -0.8048
-2.1534 1.8984 7.8386
Zn Pd Pm
6 4 2
Cartesian
-1.3088 -2.4954 3.4297 Zn
-0.4510 0.1628 2.9205 Zn
-2.5485 -0.8817 5.1054 Zn
0.4016 -5.1954 3.6971 Zn
2.4991 -4.1510 1.5123 Zn
1.2594 -2.5373 3.1879 Zn
1.7207 -3.6682 5.4539 Pd
-0.1362 -3.9443 1.4226 Pd
0.0869 -1.0884 5.1951 Pd
-1.7700 -1.3645 1.1638 Pd
1.0006 -1.5385 -0.0677 Pm
-1.0500 -3.4942 6.6854 Pm
```

*2*
PmZn3Pd2: relaxed, PBE.

SG: P6/mmm, No. 191
Calculated volume (Å³/cell): 327.47
Theoretical density (Mg/m³): 8.43

POSCAR file:
```
PmZn3Pd2
1.0
-2.6334 -3.2312 -1.0724
-0.4768 3.2963 -8.7612
6.6457 -6.1875 2.3240
Zn Pd Pm
9 6 3
Cartesian
-0.3355 2.3197 -6.1656 Zn
-0.1412 0.9766 -2.5956 Zn
2.0061 -4.7094 0.6258 Zn
4.6768 -4.3544 1.6355 Zn
4.3413 -2.0346 -4.5301 Zn
-1.5551 0.0325 -4.9168 Zn
1.9689 -1.8331 0.6885 Zn
1.8276 -0.8565 -1.9071 Zn
1.7678 -3.0612 -3.7548 Zn
-0.4675 -0.0849 -7.2337 Pd
3.7925 -4.5822 -4.1439 Pd
-0.2570 -1.5402 -3.3656 Pd
2.4666 -2.8166 -6.2076 Pd
4.0030 -6.0375 -0.2758 Pd
1.0689 -3.3057 -1.3019 Pd
-1.3167 -1.6156 -0.5362 Pm
1.8974 0.1350 -5.0661 Pm
4.2715 -3.0262 -1.3710 Pm
```

It is *2* that is most stable; the runner-up trails by 82 meV/atom.

*1*
PmZn2Pd: relaxed, PBE.

SG: Fm-3m, No. 225
Calculated volume (Å³/cell): 75.44
Theoretical density (Mg/m³): 8.41

POSCAR file:
```
PmZn2Pd
1.0
4.7429 0.0000 0.0000
2.3714 4.1075 0.0000
2.3714 1.3692 3.8726
Pd Pm Zn
1 1 2
Cartesian
4.7429 2.7383 1.9363 Pd
0.0000 0.0000 0.0000 Pm
2.3714 1.3692 0.9681 Zn
7.1143 4.1075 2.9044 Zn
```

*2*
PmZn2Pd: relaxed, PBE.

SG: Cmcm, No. 63
Calculated volume (Å³/cell): 165.08
Theoretical density (Mg/m³): 7.69

POSCAR file:
```
PmZn2Pd
1.0
-3.1827 -0.5547 3.0685
0.3250 -3.9357 -3.6109
4.9468 -3.6875 4.4644
Zn Pd Pm
4 2 2
Cartesian
2.2689 -5.9330 4.5149 Zn
0.6043 -4.6921 3.0126 Zn
-0.1798 -2.2448 -0.5929 Zn
1.4848 -3.4857 0.9094 Zn
-1.2097 -4.0438 1.2482 Pd
3.2988 -4.1341 2.6737 Pd
2.5359 -6.6737 1.4213 Pm
-0.4469 -1.5042 2.5006 Pm
```

*3*
PmZn2Pd: relaxed, PBE.

SG: P2_1/m, No. 11
Calculated volume (Å³/cell): 154.93
Theoretical density (Mg/m³): 8.19

POSCAR file:
```
PmZn2Pd
1.0
4.4069 0.0114 0.0000
-2.1907 4.9298 0.0000
0.0000 0.0000 7.1230
Zn Pm Pd
4 2 2
Cartesian
0.0139 3.6268 3.9916 Zn
2.2023 1.3144 0.4301 Zn
0.0139 3.6268 6.6929 Zn
2.2023 1.3144 3.1314 Zn
0.0029 0.7803 5.3422 Pm
2.2133 4.1609 1.7807 Pm
2.2173 2.8528 5.3422 Pd
-0.0011 2.0883 1.7807 Pd
```

It is *3* that is most stable; the runner-up trails by 139 meV/atom.

*1*
PmZn2Pd: relaxed, PBE.

SG: R-3m, No. 166
Calculated volume (Å³/cell): 80.63
Theoretical density (Mg/m³): 7.87

POSCAR file:
```
PmZn2Pd
1.0
-4.1766 0.9960 -0.7071
-1.4877 0.3769 -4.0720
-3.0241 -4.3260 -1.6207
Pd Zn Pm
1 2 1
Cartesian
-4.3442 -1.4766 -3.1999 Pd
-2.2978 -1.2677 -1.6030 Zn
-6.3906 -1.6855 -4.7968 Zn
0.0000 0.0000 0.0000 Pm
```

*2*
PmZn2Pd: relaxed, PBE.

SG: P4/mmm, No. 123
Calculated volume (Å³/cell): 76.09
Theoretical density (Mg/m³): 8.34

POSCAR file:
```
PmZn2Pd
1.0
-1.2719 -2.4087 -1.9368
2.8236 -0.0537 -1.7874
2.5619 -4.7211 4.1890
Pd Zn Pm
1 2 1
Cartesian
0.7759 -1.2312 -1.8621 Pd
2.0707 -3.8159 3.3858 Zn
0.4912 -0.9052 0.8032 Zn
2.0568 -3.5918 0.2324 Pm
```

It is *1* that is most stable; the runner-up trails by 68 meV/atom.

*1*
Pm2Zn4Pd3: relaxed, PBE.

SG: Cmce, No. 64
Calculated volume (Å³/cell): 340.84
Theoretical density (Mg/m³): 8.49

POSCAR file:
```
Pm2Zn4Pd3
1.0
-4.7140 1.6900 -2.9252
1.2563 -5.6065 -5.2637
-1.8648 -5.5996 5.5192
Zn Pm Pd
8 4 6
Cartesian
-2.1347 -5.7754 0.1034 Zn
-3.6372 -0.6024 -3.1103 Zn
-0.2525 -7.1664 -3.7333 Zn
-4.0423 -8.0687 -1.0220 Zn
-3.1878 -3.7407 -2.7731 Zn
-1.2802 -1.4474 -1.6477 Zn
-5.0700 -2.3497 1.0637 Zn
-1.6853 -8.9137 0.4406 Zn
-0.3078 -4.4387 -2.0684 Pm
-2.2447 -5.4685 -5.2911 Pm
-5.0147 -5.0774 -0.6013 Pm
-3.0778 -4.0476 2.6215 Pm
-1.7288 -1.9582 -4.0944 Pd
-0.2118 -7.2543 -0.9752 Pd
-5.1107 -2.2618 -1.6945 Pd
-2.5688 -6.4093 -2.4378 Pd
0.0000 0.0000 0.0000 Pd
-2.7537 -3.1068 -0.2319 Pd
```

*2*
Pm2Zn4Pd3: relaxed, PBE.

SG: Fmmm, No. 69
Calculated volume (Å³/cell): 170.93
Theoretical density (Mg/m³): 8.46

POSCAR file:
```
Pm2Zn4Pd3
1.0
5.3582 -0.1204 -1.0310
-2.9083 4.5019 -1.0310
0.0084 0.0150 7.1833
Zn Pd Pm
4 3 2
Cartesian
-1.1281 4.4617 0.9987 Zn
-1.9335 3.0213 4.1226 Zn
4.3918 1.3752 0.9987 Zn
3.5864 -0.0652 4.1226 Zn
2.6791 -0.0602 -0.5155 Pd
-1.4541 2.2509 -0.5155 Pd
0.0000 0.0000 0.0000 Pd
0.9170 1.6400 4.5743 Pm
1.5413 2.7565 0.5469 Pm
```

It is *1* that is most stable; the runner-up trails by 42 meV/atom.

*1*
Pm2ZnPd4: relaxed, PBE.

SG: Fmmm, No. 69
Calculated volume (Å³/cell): 155.04
Theoretical density (Mg/m³): 8.37

POSCAR file:
```
Pm2ZnPd4
1.0
6.2301 0.0211 -0.0023
0.0127 6.2301 0.0023
-3.1201 -3.1269 3.9944
Pm Pd Zn
2 4 1
Cartesian
0.0073 3.1146 1.9984 Pm
3.1155 0.0096 1.9961 Pm
4.4631 1.7856 -0.0009 Pd
4.4812 4.4872 0.0001 Pd
1.7616 1.7640 0.0001 Pd
-1.3406 1.3388 3.9953 Pd
3.1099 -3.1057 3.9920 Zn
```

*2*
Pm2ZnPd4: relaxed, PBE.

SG: P-1, No. 2
Calculated volume (Å³/cell): 156.24
Theoretical density (Mg/m³): 8.30

POSCAR file:
```
Pm2ZnPd4
1.0
-2.3164 -3.7429 2.4435
2.2337 -1.5579 -4.1130
6.9963 0.8089 2.1053
Zn Pd Pm
1 4 2
Cartesian
0.0000 0.0000 0.0000 Zn
4.2610 -4.4048 0.2853 Pd
1.1168 -0.7789 -2.0565 Pd
-1.1582 -1.8714 1.2218 Pd
2.6526 -0.0871 0.1505 Pd
1.6036 -2.8966 0.1140 Pm
5.3099 -1.5953 0.3219 Pm
```

It is *2* that is most stable; the runner-up trails by 36 meV/atom.

*1*
Pm2Zn2Pd3: relaxed, PBE.

SG: Cmcm, No. 63
Calculated volume (Å³/cell): 287.17
Theoretical density (Mg/m³): 8.56

POSCAR file:
```
Pm2Zn2Pd3
1.0
-0.0011 1.2697 -3.8692
-3.1671 -6.4277 -2.1084
-8.5499 3.1680 3.1850
Zn Pd Pm
4 6 4
Cartesian
-6.6560 -0.5418 -0.1759 Zn
-5.4088 1.9895 0.6544 Zn
-6.3092 -3.9796 -3.4470 Zn
-5.0620 -1.4483 -2.6167 Zn
-6.2097 -3.1155 -1.0205 Pd
-9.2232 -0.3156 -0.1009 Pd
-10.4030 -2.7101 -0.8863 Pd
-2.4949 -1.6745 -2.6917 Pd
-5.5084 1.1254 -1.7720 Pd
-1.3151 0.7200 -1.9063 Pd
-8.2770 -1.5614 -2.6529 Pm
-3.4202 -4.3561 -1.4285 Pm
-3.4411 -0.4286 -0.1397 Pm
-8.2979 2.3660 -1.3641 Pm
```

*2*
Pm2Zn2Pd3: relaxed, PBE.

SG: C2/m, No. 12
Calculated volume (Å³/cell): 139.20
Theoretical density (Mg/m³): 8.83

POSCAR file:
```
Pm2Zn2Pd3
1.0
4.0006 0.0000 0.0000
-2.0003 5.2449 0.1202
0.0000 -2.6135 6.5741
Pd Pm Zn
3 2 2
Cartesian
0.0000 2.4669 3.7745 Pd
2.0003 0.1646 2.9198 Pd
2.0003 0.0000 0.0000 Pd
2.0003 3.3058 1.6940 Pm
0.0000 -0.6743 5.0003 Pm
0.0000 1.0460 1.4695 Zn
2.0003 1.5854 5.2248 Zn
```

It is *1* that is most stable; the runner-up trails by 19 meV/atom.

*1*
Pm2Zn3Pd2: relaxed, PBE.

SG: C2/m, No. 12
Calculated volume (Å³/cell): 140.38
Theoretical density (Mg/m³): 8.27

POSCAR file:
```
Pm2Zn3Pd2
1.0
-2.8424 -3.0294 -1.1421
3.9350 0.7520 -3.6624
2.2757 -4.1265 5.2818
Zn Pd Pm
3 2 2
Cartesian
0.1924 -3.4992 0.6770 Zn
3.1759 -2.9046 -0.1998 Zn
-1.4212 -1.5147 -0.5710 Zn
1.1577 -1.0551 -0.0826 Pd
2.2106 -5.3487 0.5599 Pd
0.9013 -3.0322 -2.3260 Pm
2.4669 -3.3716 2.8033 Pm
```

*2*
Pm2Zn3Pd2: relaxed, PBE.

SG: C2/m, No. 12
Calculated volume (Å³/cell): 142.36
Theoretical density (Mg/m³): 8.15

POSCAR file:
```
Pm2Zn3Pd2
1.0
-2.4360 3.7738 0.1436
-1.6274 -3.5759 -3.9549
-2.8705 -2.0595 5.4315
Zn Pd Pm
3 2 2
Cartesian
0.0000 0.0000 0.0000 Zn
-1.9079 -1.1741 -1.5122 Zn
-5.0260 -0.6876 3.1323 Zn
-4.3411 -0.0779 -1.2745 Pd
-2.5928 -1.7838 2.8947 Pd
-2.8551 0.7919 1.0770 Pm
-4.0788 -2.6535 0.5431 Pm
```

It is *1* that is most stable; the runner-up trails by 63 meV/atom.

*1*
PmZrPd: relaxed, PBE.

SG: I4/mmm, No. 139
Calculated volume (Å³/cell): 152.45
Theoretical density (Mg/m³): 7.46

POSCAR file:
```
PmZrPd
1.0
-1.9185 -3.3354 0.8959
-0.7893 -0.5742 -3.8282
9.6664 -3.0838 0.5081
Pm Pd Zr
2 2 2
Cartesian
1.7842 -1.0815 -0.2056 Pm
5.1744 -5.9119 -2.2186 Pm
-0.2184 -2.6431 -1.5970 Pd
7.1770 -4.3503 -0.8272 Pd
4.6776 -2.8353 -0.5391 Zr
2.2811 -4.1581 -1.8851 Zr
```

*2*
PmZrPd: relaxed, PBE.

SG: I4mm, No. 107
Calculated volume (Å³/cell): 70.72
Theoretical density (Mg/m³): 8.05

POSCAR file:
```
PmZrPd
1.0
3.4832 0.0000 0.0000
0.0000 3.4832 0.0000
-1.7416 -1.7416 5.8292
Pd Zr Pm
1 1 1
Cartesian
1.7416 1.7416 2.1720 Pd
0.0000 0.0000 3.5673 Zr
0.0000 0.0000 0.0899 Pm
```

It is *2* that is most stable; the runner-up trails by 94 meV/atom.

*1*
PrPd6: relaxed, PBE.

SG: Pm-3m, No. 221
Calculated volume (Å³/cell): 217.30
Theoretical density (Mg/m³): 5.96

POSCAR file:
```
PrPd6
1.0
-1.3794 -4.4955 -3.7459
5.7808 -0.4499 -1.5888
0.9077 -3.9664 4.4259
Pd Pr
6 1
Cartesian
3.0742 -3.0883 0.6851 Pd
2.3784 -3.2493 -1.8008 Pd
4.4131 -4.5928 -0.9378 Pd
2.9307 -5.6626 0.8920 Pd
2.2349 -5.8235 -1.5940 Pd
0.8959 -4.3191 0.0289 Pd
0.0000 0.0000 0.0000 Pr
```

*2*
PrPd6: relaxed, PBE.

SG: Pnma, No. 62
Calculated volume (Å³/cell): 506.30
Theoretical density (Mg/m³): 10.23

POSCAR file:
```
PrPd6
1.0
5.3761 0.0000 0.0000
0.0000 8.8183 0.0000
0.0000 0.0000 10.6795
Pd Pr
24 4
Cartesian
1.3440 5.8360 3.6184 Pd
0.0301 8.2783 3.2137 Pd
4.0321 2.9823 7.0611 Pd
4.0321 5.3561 0.2122 Pd
5.3461 0.5399 7.4658 Pd
5.3461 4.9491 8.5535 Pd
1.3440 3.4621 10.4673 Pd
4.0321 3.8812 4.5368 Pd
2.7181 0.5399 7.4658 Pd
2.7181 4.9491 8.5535 Pd
2.6580 8.2783 3.2137 Pd
4.0321 0.9470 5.1276 Pd
4.0321 1.6323 2.4593 Pd
1.3440 7.1860 8.2203 Pd
1.3440 0.5279 9.8765 Pd
1.3440 1.4269 1.7214 Pd
2.6580 3.8692 2.1260 Pd
1.3440 4.9371 6.1428 Pd
1.3440 7.8713 5.5520 Pd
1.3440 2.7768 7.7990 Pd
4.0321 6.0414 2.8805 Pd
0.0301 3.8692 2.1260 Pd
4.0321 7.3914 8.9582 Pd
4.0321 8.2903 0.8030 Pd
1.3440 6.6526 0.6345 Pr
4.0321 6.5748 5.9742 Pr
1.3440 2.2435 4.7053 Pr
4.0321 2.1656 10.0451 Pr
```

It is *2* that is most stable; the runner-up trails by 1368 meV/atom.

*1*
Pr2Pd2Pt: relaxed, PBE.

SG: C2/m, No. 12
Calculated volume (Å³/cell): 231.25
Theoretical density (Mg/m³): 9.91

POSCAR file:
```
Pr2Pd2Pt
1.0
4.0311 0.0000 0.0000
2.0155 5.2499 -0.5748
2.0155 -0.0820 10.9363
Pd Pt Pr
4 2 4
Cartesian
2.0155 1.1818 5.7377 Pd
6.0466 3.9860 4.6237 Pd
6.0466 4.1752 9.3108 Pd
2.0155 0.9926 1.0507 Pd
4.0311 4.7211 2.8528 Pt
4.0311 0.4467 7.5087 Pt
4.0311 3.4047 6.8487 Pr
4.0311 1.7632 3.5128 Pr
2.0155 3.8974 0.8061 Pr
6.0466 1.2704 9.5554 Pr
```

*2*
Pr2Pd2Pt: relaxed, PBE.

SG: P4/mnc, No. 128
Calculated volume (Å³/cell): 453.44
Theoretical density (Mg/m³): 10.10

POSCAR file:
```
Pr2Pd2Pt
1.0
7.5271 0.0000 0.0000
0.0000 7.5271 0.0000
0.0000 0.0000 8.0032
Pd Pr Pt
8 8 4
Cartesian
6.5629 4.7278 2.0008 Pd
4.7278 0.9642 2.0008 Pd
2.7993 6.5629 2.0008 Pd
6.5629 4.7278 6.0024 Pd
2.7993 6.5629 6.0024 Pd
0.9642 2.7993 2.0008 Pd
0.9642 2.7993 6.0024 Pd
4.7278 0.9642 6.0024 Pd
1.3530 5.1160 0.0000 Pr
5.1165 6.1746 4.0016 Pr
2.4111 1.3530 0.0000 Pr
1.3525 5.1165 4.0016 Pr
6.1746 2.4106 4.0016 Pr
5.1160 6.1741 0.0000 Pr
6.1741 2.4111 0.0000 Pr
2.4106 1.3525 4.0016 Pr
3.7635 3.7635 1.9974 Pt
0.0000 0.0000 5.9990 Pt
0.0000 0.0000 2.0042 Pt
3.7635 3.7635 6.0058 Pt
```

It is *1* that is most stable; the runner-up trails by 48 meV/atom.